(1)
A relaxed PtWBr2 crystal, computed with PBE-GGA.

abc: 3.1935 3.1935 9.4648
angles: 90.00 90.00 123.97
Closest atoms and distances in Å follow each position.
Positions (direct):
Br  0.0000  0.0000  0.9732  2 W 2.59
Br  0.0000  0.0000  0.5268  2 W 2.59
W  0.5000  0.5000  0.7500  4 Br 2.59
Pt  0.5000  0.5000  0.2500  6 Pt 3.00-3.19, 4 Br 3.02

## Properties
* formation energy without anion corrections: 872 meV/atom
* calculated volume: 20.01 A^3/atom
* DFT total energy: -4.71 eV/atom
* DOS(E_F): 1.0206 states/eV/atom
* ρ: 11.176 g/cm3

(2)
A relaxed Pt2WBr crystal, computed with PBE-GGA.

abc: 4.6832 4.6832 6.8438
angles: 81.68 81.68 36.66
Closest atoms and distances in Å follow each position.
Positions (direct):
Br  0.1178  0.1178  0.2834  2 W 2.58, 1 Pt 2.70
W  0.5338  0.5338  0.5897  2 Br 2.58, 5 Pt 2.61-2.67
Pt  0.0525  0.0525  0.9105  2 W 2.67, 1 Br 2.70, 5 Pt 2.78-2.95
Pt  0.7960  0.7960  0.7164  3 W 2.61, 3 Pt 2.78-2.81

## Properties
* formation energy without anion corrections: 191 meV/atom
* calculated volume: 22.14 A^3/atom
* DFT total energy: -6.49 eV/atom
* DOS(E_F): 0.6703 states/eV/atom
* ρ: 12.260 g/cm3

(3)
A relaxed PtWBr2 crystal, computed with PBE-GGA.

abc: 12.1219 12.1219 12.1219
angles: 13.74 13.74 13.74
Closest atoms and distances in Å follow each position.
Positions (direct):
Br  0.9308  0.9308  0.9308  1 W 2.49
Br  0.0692  0.0692  0.0692  1 W 2.49
W  0.0000  0.0000  0.0000  2 Br 2.49
Pt  0.5000  0.5000  0.5000  6 Pt 2.90

## Properties
* formation energy without anion corrections: 861 meV/atom
* calculated volume: 21.87 A^3/atom
* DFT total energy: -4.72 eV/atom
* DOS(E_F): 0.9721 states/eV/atom
* ρ: 10.227 g/cm3

(4)
A relaxed YPt2Br crystal, computed with PBE-GGA.

abc: 4.8799 4.8799 4.8799
angles: 60.00 60.00 60.00
Closest atoms and distances in Å follow each position.
Positions (direct):
Y  0.5000  0.5000  0.5000  8 Pt 2.99
Br  0.0000  0.0000  0.0000  8 Pt 2.99
Pt  0.2500  0.2500  0.2500  4 Br 2.99, 4 Y 2.99
Pt  0.7500  0.7500  0.7500  4 Br 2.99, 4 Y 2.99

## Properties
* formation energy without anion corrections: -283 meV/atom
* calculated volume: 20.54 A^3/atom
* DFT total energy: -5.34 eV/atom
* DOS(E_F): 0.2434 states/eV/atom
* ρ: 11.296 g/cm3

(5)
A relaxed Y4PtBr5 crystal, computed with PBE-GGA.

abc: 4.0470 8.5567 9.6008
angles: 102.12 102.17 90.00
Closest atoms and distances in Å follow each position.
Positions (direct):
Y  0.6492  0.0778  0.2985  1 Pt 2.74, 4 Br 2.91-2.97
Y  0.0026  0.2194  0.0053  2 Pt 2.75, 1 Br 3.06
Y  0.3508  0.9222  0.7015  1 Pt 2.74, 4 Br 2.91-2.97
Y  0.9974  0.7806  0.9947  2 Pt 2.75, 1 Br 3.06
Pt  0.5000  0.0000  0.0000  6 Y 2.74-2.75
Br  0.1692  0.3285  0.3383  3 Y 2.91-3.06
Br  0.1789  0.8456  0.3579  3 Y 2.97-3.15
Br  0.8211  0.1544  0.6421  3 Y 2.97-3.15
Br  0.5000  0.5000  0.0000  4 Y 3.15
Br  0.8308  0.6715  0.6617  3 Y 2.91-3.06

## Properties
* formation energy without anion corrections: -1525 meV/atom
* calculated volume: 31.74 A^3/atom
* DFT total energy: -5.55 eV/atom
* DOS(E_F): 0.4554 states/eV/atom
* ρ: 4.971 g/cm3

(6)
A relaxed YPtBr2 crystal, computed with PBE-GGA.

abc: 5.0062 5.0062 5.0062
angles: 60.00 60.00 60.00
Closest atoms and distances in Å follow each position.
Positions (direct):
Y  0.0000  0.0000  0.0000  8 Br 3.07
Br  0.2500  0.2500  0.2500  4 Pt 3.07, 4 Y 3.07
Br  0.7500  0.7500  0.7500  4 Pt 3.07, 4 Y 3.07
Pt  0.5000  0.5000  0.5000  8 Br 3.07

## Properties
* formation energy without anion corrections: -538 meV/atom
* calculated volume: 22.18 A^3/atom
* DFT total energy: -4.50 eV/atom
* DOS(E_F): 1.0981 states/eV/atom
* ρ: 8.307 g/cm3

(7)
A relaxed YPt2Br crystal, computed with PBE-GGA.

abc: 3.8141 3.8034 6.6681
angles: 60.30 90.00 90.00
Closest atoms and distances in Å follow each position.
Positions (direct):
Y  0.5000  0.2500  0.2500  2 Br 2.91, 8 Pt 2.97-3.03
Br  0.5000  0.7500  0.7500  2 Y 2.91, 4 Pt 2.95
Pt  0.0000  0.9354  0.0214  1 Pt 2.65, 2 Br 2.95
Pt  0.0000  0.5646  0.4786  1 Pt 2.65, 2 Br 2.95

## Properties
* formation energy without anion corrections: -664 meV/atom
* calculated volume: 21.01 A^3/atom
* DFT total energy: -5.72 eV/atom
* DOS(E_F): 0.4675 states/eV/atom
* ρ: 11.047 g/cm3

(8)
A relaxed YPtBr2 crystal, computed with PBE-GGA.

abc: 4.5803 4.5803 4.1808
angles: 90.00 90.00 90.00
Closest atoms and distances in Å follow each position.
Positions (direct):
Y  0.0000  0.5000  0.5000  8 Br 3.10, 4 Pt 3.24
Br  0.0000  0.0000  0.0000  4 Pt 3.10, 4 Y 3.10, 4 Br 3.24
Br  0.5000  0.5000  0.0000  4 Y 3.10, 4 Pt 3.10, 4 Br 3.24
Pt  0.5000  0.0000  0.5000  8 Br 3.10, 4 Y 3.24

## Properties
* formation energy without anion corrections: -556 meV/atom
* calculated volume: 21.93 A^3/atom
* DFT total energy: -4.52 eV/atom
* DOS(E_F): 0.3241 states/eV/atom
* ρ: 8.402 g/cm3

(9)
A relaxed YPtBr2 crystal, computed with PBE-GGA.

abc: 8.1119 8.1119 8.1119
angles: 30.49 30.49 30.49
Closest atoms and distances in Å follow each position.
Positions (direct):
Y  0.7689  0.7689  0.7689  3 Pt 2.83, 3 Br 3.02
Br  0.0268  0.0268  0.0268  3 Y 3.02
Br  0.2084  0.2084  0.2084  3 Pt 2.68
Pt  0.4959  0.4959  0.4959  3 Br 2.68, 3 Y 2.83

## Properties
* formation energy without anion corrections: -954 meV/atom
* calculated volume: 30.45 A^3/atom
* DFT total energy: -4.92 eV/atom
* DOS(E_F): 0.8419 states/eV/atom
* ρ: 6.050 g/cm3

(10)
A relaxed YPt3Br crystal, computed with PBE-GGA.

abc: 4.8158 4.8158 4.8158
angles: 90.00 90.00 90.00
Closest atoms and distances in Å follow each position.
Positions (direct):
Y  0.5000  0.5000  0.5000  12 Pt 3.41
Br  0.0000  0.0000  0.0000  6 Pt 2.41
Pt  0.0000  0.5000  0.0000  2 Br 2.41
Pt  0.0000  0.0000  0.5000  2 Br 2.41
Pt  0.5000  0.0000  0.0000  2 Br 2.41

## Properties
* formation energy without anion corrections: 323 meV/atom
* calculated volume: 22.34 A^3/atom
* DFT total energy: -4.93 eV/atom
* DOS(E_F): 0.4031 states/eV/atom
* ρ: 11.211 g/cm3

(11)
A relaxed YPtBr crystal, computed with PBE-GGA.

abc: 6.7130 6.7131 3.4766
angles: 74.99 74.99 30.01
Closest atoms and distances in Å follow each position.
Positions (direct):
Y  0.6792  0.6792  0.3208  4 Pt 2.87, 4 Br 3.14
Pt  0.2976  0.2976  0.7024  4 Y 2.87
Br  0.0232  0.0232  0.9768  4 Y 3.14, 1 Pt 3.43, 4 Br 3.48

## Properties
* formation energy without anion corrections: -1050 meV/atom
* calculated volume: 25.17 A^3/atom
* DFT total energy: -5.78 eV/atom
* ρ: 8.003 g/cm3

(12)
A relaxed YPt2Br2 crystal, computed with PBE-GGA.

abc: 7.1298 7.1298 5.0619
angles: 90.00 90.00 90.00
Closest atoms and distances in Å follow each position.
Positions (direct):
Y  0.0000  0.0000  0.0000  4 Pt 2.78
Y  0.5000  0.5000  0.0000  4 Pt 2.78
Br  0.3126  0.8126  0.5000  2 Pt 2.59
Br  0.8126  0.6874  0.5000  2 Pt 2.59
Br  0.6874  0.1874  0.5000  2 Pt 2.59
Br  0.1874  0.3126  0.5000  2 Pt 2.59
Pt  0.3658  0.8658  0.0000  2 Br 2.59, 1 Pt 2.71, 2 Y 2.78
Pt  0.8658  0.6342  0.0000  2 Br 2.59, 1 Pt 2.71, 2 Y 2.78
Pt  0.6342  0.1342  0.0000  2 Br 2.59, 1 Pt 2.71, 2 Y 2.78
Pt  0.1342  0.3658  0.0000  2 Br 2.59, 1 Pt 2.71, 2 Y 2.78

## Properties
* formation energy without anion corrections: -399 meV/atom
* calculated volume: 25.73 A^3/atom
* DFT total energy: -4.78 eV/atom
* DOS(E_F): 0.3162 states/eV/atom
* ρ: 8.246 g/cm3

(13)
A relaxed Y3PtBr3 crystal, computed with PBE-GGA.

abc: 6.8723 6.8723 11.6174
angles: 72.80 72.80 60.00
Closest atoms and distances in Å follow each position.
Positions (direct):
Y  0.9498  0.2906  0.1505  2 Pt 2.80, 3 Br 2.97-2.98
Y  0.6090  0.9498  0.1505  2 Pt 2.80, 3 Br 2.97-2.98
Y  0.2906  0.6090  0.1505  2 Pt 2.80, 3 Br 2.97-2.98
Y  0.7094  0.3910  0.8495  2 Pt 2.80, 3 Br 2.97-2.98
Y  0.3910  0.0502  0.8495  2 Pt 2.80, 3 Br 2.97-2.98
Y  0.0502  0.7094  0.8495  2 Pt 2.80, 3 Br 2.97-2.98
Pt  0.6667  0.6667  0.0000  6 Y 2.80
Pt  0.3333  0.3333  0.0000  6 Y 2.80
Br  0.2192  0.8918  0.3244  3 Y 2.97-2.98
Br  0.5646  0.2192  0.3244  3 Y 2.97-2.98
Br  0.8918  0.5646  0.3244  3 Y 2.97-2.98
Br  0.1082  0.4354  0.6756  3 Y 2.97-2.98
Br  0.4354  0.7808  0.6756  3 Y 2.97-2.98
Br  0.7808  0.1082  0.6756  3 Y 2.97-2.98

## Properties
* formation energy without anion corrections: -1438 meV/atom
* calculated volume: 31.90 A^3/atom
* DFT total energy: -5.79 eV/atom
* DOS(E_F): 0.4317 states/eV/atom
* ρ: 5.217 g/cm3

(14)
A relaxed YPt2Br crystal, computed with PBE-GGA.

abc: 4.3182 4.3182 7.2114
angles: 78.88 78.88 59.96
Closest atoms and distances in Å follow each position.
Positions (direct):
Y  0.4707  0.4707  0.5674  6 Pt 3.00-3.04, 3 Br 3.07
Br  0.1920  0.1920  0.3124  3 Y 3.07
Pt  0.0841  0.0841  0.8154  3 Pt 2.49
Pt  0.7532  0.7532  0.8048  3 Pt 2.49

## Properties
* formation energy without anion corrections: -883 meV/atom
* calculated volume: 28.37 A^3/atom
* DFT total energy: -5.94 eV/atom
* DOS(E_F): 0.0195 states/eV/atom
* ρ: 8.180 g/cm3

(15)
A relaxed YPtBr crystal, computed with PBE-GGA.

abc: 3.9435 3.9435 6.3118
angles: 90.00 90.00 120.00
Closest atoms and distances in Å follow each position.
Positions (direct):
Y  0.6667  0.3333  0.6455  3 Pt 2.75, 3 Br 2.99
Br  0.0000  0.0000  0.9523  3 Y 2.99
Pt  0.3333  0.6667  0.4022  3 Y 2.75

## Properties
* formation energy without anion corrections: -1111 meV/atom
* calculated volume: 28.34 A^3/atom
* DFT total energy: -5.84 eV/atom
* DOS(E_F): 0.0000 states/eV/atom
* ρ: 7.108 g/cm3

(16)
A relaxed YPtBr2 crystal, computed with PBE-GGA.

abc: 7.6029 7.6029 4.5116
angles: 91.35 91.35 28.49
Closest atoms and distances in Å follow each position.
Positions (direct):
Y  0.2500  0.2500  0.2500  4 Pt 2.93, 4 Br 3.01
Br  0.8952  0.8952  0.0409  1 Pt 2.48
Br  0.6048  0.6048  0.4591  1 Pt 2.48
Pt  0.7500  0.7500  0.7500  2 Br 2.48

## Properties
* formation energy without anion corrections: -962 meV/atom
* calculated volume: 31.09 A^3/atom
* DFT total energy: -4.92 eV/atom
* DOS(E_F): 0.3606 states/eV/atom
* ρ: 5.925 g/cm3

(17)
A relaxed YPtBr2 crystal, computed with PBE-GGA.

abc: 5.6413 5.6413 5.6413
angles: 134.94 134.94 65.62
Closest atoms and distances in Å follow each position.
Positions (direct):
Y  0.7500  0.2500  0.5000  8 Br 3.06-3.21, 4 Pt 3.21
Br  0.0000  0.0000  0.0000  4 Pt 3.06, 4 Y 3.21, 4 Br 3.21
Br  0.2500  0.7500  0.5000  4 Y 3.06, 4 Br 3.21, 4 Pt 3.21
Pt  0.5000  0.5000  0.0000  8 Br 3.06-3.21, 4 Y 3.21

## Properties
* formation energy without anion corrections: -621 meV/atom
* calculated volume: 22.15 A^3/atom
* DFT total energy: -4.58 eV/atom
* DOS(E_F): 0.3687 states/eV/atom
* ρ: 8.317 g/cm3

(18)
A relaxed YPt3Br crystal, computed with PBE-GGA.

abc: 5.1876 5.1876 5.1876
angles: 90.00 90.00 90.00
Closest atoms and distances in Å follow each position.
Positions (direct):
Y  0.0000  0.0000  0.0000  6 Pt 2.59
Br  0.5000  0.5000  0.5000  12 Pt 3.67
Pt  0.0000  0.5000  0.0000  2 Y 2.59
Pt  0.0000  0.0000  0.5000  2 Y 2.59
Pt  0.5000  0.0000  0.0000  2 Y 2.59

## Properties
* formation energy without anion corrections: 973 meV/atom
* calculated volume: 27.92 A^3/atom
* DFT total energy: -4.28 eV/atom
* DOS(E_F): 0.1133 states/eV/atom
* ρ: 8.969 g/cm3

(19)
A relaxed YPt2Br crystal, computed with PBE-GGA.

abc: 3.9743 3.9719 5.0752
angles: 90.00 90.00 90.00
Closest atoms and distances in Å follow each position.
Positions (direct):
Y  0.5000  0.0000  0.5000  4 Br 2.81
Br  0.0000  0.5000  0.5000  4 Y 2.81
Pt  0.0000  0.0000  0.0000  4 Pt 2.81
Pt  0.5000  0.5000  0.0000  4 Pt 2.81

## Properties
* formation energy without anion corrections: -554 meV/atom
* calculated volume: 20.03 A^3/atom
* DFT total energy: -5.61 eV/atom
* DOS(E_F): 0.5222 states/eV/atom
* ρ: 11.586 g/cm3

(20)
A relaxed YPtBr2 crystal, computed with PBE-GGA.

abc: 5.6772 5.6772 4.5989
angles: 66.38 66.38 110.61
Closest atoms and distances in Å follow each position.
Positions (direct):
Y  0.0000  0.5000  0.5000  4 Br 2.85
Br  0.0000  0.0000  0.0000  2 Pt 2.85, 2 Y 2.85
Br  0.5000  0.5000  0.0000  2 Y 2.85, 2 Pt 2.85
Pt  0.5000  0.0000  0.5000  4 Br 2.85

## Properties
* formation energy without anion corrections: -651 meV/atom
* calculated volume: 24.64 A^3/atom
* DFT total energy: -4.61 eV/atom
* DOS(E_F): 0.4242 states/eV/atom
* ρ: 7.478 g/cm3